Entry 1:
# TbMgScCu

A relaxed structure of TbMgScCu (PBE, the Alexandria database).

CIF file:
```
data_TbMgScCu
_cell_length_a 3.377
_cell_length_b 3.377
_cell_length_c 7.873
_cell_angle_alpha 90.00
_cell_angle_beta 90.00
_cell_angle_gamma 90.00
_symmetry_space_group_name_H-M 'P 4 m m'
_symmetry_Int_Tables_number 99
loop_
_symmetry_equiv_pos_as_xyz
'x,y,z'
'-y,x,z'
'-x,-y,z'
'y,-x,z'
'-x,y,z'
'y,x,z'
'x,-y,z'
'-y,-x,z'
loop_
_atom_site_label
_atom_site_fract_x
_atom_site_fract_y
_atom_site_fract_z
Tb1 0.000 0.000 0.000
Mg1 0.500 0.500 0.307
Sc1 0.000 0.000 0.581
Cu1 0.500 0.500 0.760
```

## Properties
Formation energy = -0.6 eV per formula unit
Electronic total energy = -4.30 eV per atom
Energy above the lowest structure with this stoichiometry = 0.000 eV per atom

Entry 2:
# AlSi2Ir

A relaxed structure of AlSi2Ir (PBE, the Alexandria database).

CIF file:
```
data_AlSi2Ir
_cell_length_a 3.429
_cell_length_b 4.282
_cell_length_c 4.516
_cell_angle_alpha 90.00
_cell_angle_beta 104.65
_cell_angle_gamma 90.00
_symmetry_space_group_name_H-M 'P 1 2/m 1'
_symmetry_Int_Tables_number 10
loop_
_symmetry_equiv_pos_as_xyz
'x,y,z'
'-x,-y,-z'
'-x,y,-z'
'x,-y,z'
loop_
_atom_site_label
_atom_site_fract_x
_atom_site_fract_y
_atom_site_fract_z
Al1 0.000 0.000 0.000
Si1 0.375 0.500 0.214
Ir1 0.500 0.000 0.500
```

## Properties
Electronic total energy = -6.06 eV per atom
Energy above the lowest structure with this stoichiometry = 0.005 eV per atom

Entry 3:
# Ho11Pd9Rh4

A relaxed structure of Ho11Pd9Rh4 (PBE, the Alexandria database).

CIF file:
```
data_Ho11Pd9Rh4
_cell_length_a 13.711
_cell_length_b 20.160
_cell_length_c 3.586
_cell_angle_alpha 90.00
_cell_angle_beta 90.00
_cell_angle_gamma 90.00
_symmetry_space_group_name_H-M 'C m m m'
_symmetry_Int_Tables_number 65
_symmetry_space_group_name_Hall '-C 2 2'
loop_
_atom_site_label
_atom_site_fract_x
_atom_site_fract_y
_atom_site_fract_z
Ho1 0.000 0.000 0.000
Ho2 0.000 0.179 0.000
Ho3 0.000 0.375 0.000
Ho4 0.239 0.500 0.000
Ho5 0.244 0.170 0.000
Pd1 0.000 0.500 0.500
Pd2 0.114 0.264 0.500
Pd3 0.117 0.087 0.500
Rh1 0.155 0.411 0.500
```

## Properties
Formation energy = -20.6 eV per formula unit
Electronic total energy = -6.13 eV per atom

Entry 4:
# Sc2AgIr

A relaxed structure of Sc2AgIr (PBE, the Alexandria database).

CIF file:
```
data_Sc2AgIr
_cell_length_a 3.133
_cell_length_b 3.379
_cell_length_c 7.036
_cell_angle_alpha 90.00
_cell_angle_beta 90.00
_cell_angle_gamma 90.00
_symmetry_space_group_name_H-M 'P m m m'
_symmetry_Int_Tables_number 47
loop_
_symmetry_equiv_pos_as_xyz
'x,y,z'
'-x,-y,-z'
'-x,-y,z'
'x,y,-z'
'x,-y,-z'
'-x,y,z'
'-x,y,-z'
'x,-y,z'
loop_
_atom_site_label
_atom_site_fract_x
_atom_site_fract_y
_atom_site_fract_z
Sc1 0.000 0.000 0.226
Ag1 0.500 0.500 0.500
Ir1 0.500 0.500 0.000
```

## Properties
Formation energy = -2.7 eV per formula unit
Electronic total energy = -6.76 eV per atom
Energy above the lowest structure with this stoichiometry = 0.000 eV per atom

- Look up the electronic total energy of the second one.
  -6.06 eV per atom